Record 1
An optimized crystal structure of Y8Ho2Sc3. Source: Alexandria via LeMat-Bulk, functional GGA-PBE.

The value obtained for the total energy is -5.91 eV per atom. As for the energy of formation from the pure elements: 0.23 eV per atom. Its relative energy among the computed polymorphs is 0 meV per atom. The calculation puts the total magnetization at 0.00 μB/cell. Its density is 4.78 g/cm³.

It has space group C2/m (No. 12), with a = 19.571 Å, b = 7.548 Å, c = 5.530 Å, α = 90.00°, β = 90.02° and γ = 90.00°. Symmetry generates all atoms from Y at (0.101, 0.210, 0.000), Y at (0.126, 0.500, 0.500), Y at (0.167, 0.000, 0.500), Ho at (0.239, 0.500, 0.999), Sc at (0.000, 0.208, 0.500) and Sc at (0.000, 0.500, 0.000).



Record 2
An optimized crystal structure of CaSi2HgAs. Source: Alexandria via LeMat-Bulk, functional GGA-PBE.

The value obtained for the total energy is -2.44 eV per atom. The calculation puts the total magnetization at 0.25 μB/cell. Its density is 3.89 g/cm³.

It has space group P4/mmm (No. 123), with a = 5.466 Å, b = 5.466 Å, c = 5.314 Å, α = 90.00°, β = 90.00° and γ = 90.00°. Symmetry generates all atoms from Ca at (0.000, 0.000, 0.000), Si at (0.000, 0.500, 0.000), Hg at (0.500, 0.500, 0.500) and As at (0.000, 0.000, 0.500).



Record 3
An optimized crystal structure of Np3Ir. Source: Alexandria via LeMat-Bulk, functional GGA-PBE.

The value obtained for the total energy is -11.89 eV per atom. As for the energy of formation from the pure elements: 0.03 eV per atom. The calculation puts the total magnetization at 4.36 μB/cell. Its density is 20.47 g/cm³.

It has space group Imm2 (No. 44), with a = 2.797 Å, b = 10.063 Å, c = 5.205 Å, α = 90.00°, β = 90.00° and γ = 90.00°. Symmetry generates all atoms from Np at (0.000, 0.000, 0.000), Np at (0.000, 0.229, 0.185) and Ir at (0.000, 0.500, 0.022).